Entry 1:
This record from Alexandria describes a geometry-optimized Ba5Na2Tl2 structure. The functional is PBE-GGA.

extended XYZ file:
```
18
Lattice="9.817 -4.784 0.000 9.817 4.784 0.000 0.000 0.000 9.593" Properties=species:S:1:pos:R:3 pbc="T T T"
Ba 0.000 0.000 0.000
Ba 7.509 3.138 6.446
Ba 7.509 1.646 1.649
Ba 12.125 3.138 6.446
Ba 12.125 1.646 1.649
Ba 9.817 0.000 4.797
Ba 7.509 -1.646 7.944
Ba 7.509 -3.138 3.148
Ba 12.125 -1.646 7.944
Ba 12.125 -3.138 3.148
Na 4.266 0.000 0.000
Na 5.551 0.000 4.797
Na 14.083 0.000 4.797
Na 15.368 0.000 0.000
Tl 9.817 3.603 3.622
Tl 9.817 1.181 8.419
Tl 9.817 -1.181 1.175
Tl 9.817 -3.603 5.971
```

Properties
**Crystal system**: orthorhombic
**Space group**: Cmce
**Formation energy**: -149 kJ/mol of formula units

---

Entry 2:
This record from Alexandria describes a geometry-optimized K2ZnBiSe4 structure. The functional is PBE-GGA.

extended XYZ file:
```
8
Lattice="-4.112 4.112 3.463 4.112 -4.112 3.463 4.112 4.112 -3.463" Properties=species:S:1:pos:R:3 pbc="T T T"
K 4.112 0.000 0.000
K 0.000 4.112 0.000
Zn 0.000 0.000 0.000
Bi 0.000 0.000 3.463
Se 1.419 -1.419 1.567
Se -1.419 1.419 1.567
Se 2.693 2.693 1.895
Se 1.419 1.419 5.358
```

Properties
**E_form (uncorrected)**: -66.98 kJ/mol of atoms
**Crystal system**: tetragonal
**Space group**: I-42m

---

Entry 3:
This record from Alexandria describes a geometry-optimized DyErPdRu structure. The functional is PBE-GGA.

extended XYZ file:
```
4
Lattice="0.000 3.432 3.432 3.432 0.000 3.432 3.432 3.432 0.000" Properties=species:S:1:pos:R:3 pbc="T T T"
Dy 0.000 0.000 0.000
Er 3.432 3.432 3.432
Pd 1.716 1.716 1.716
Ru 5.148 5.148 5.148
```

Properties
**Crystal system**: cubic
**Energy above the lowest structure with this stoichiometry**: 0.035 eV per atom
**Space group**: F-43m
**Formation energy**: -259 kJ/mol of formula units

---

Entry 4:
This record from Alexandria describes a geometry-optimized La2SmTm structure. The functional is PBE-GGA.

extended XYZ file:
```
4
Lattice="1.830 1.057 11.864 -1.830 1.057 11.864 0.000 -2.113 11.864" Properties=species:S:1:pos:R:3 pbc="T T T"
La 0.000 0.000 0.000
La 0.000 0.000 6.018
Sm 0.000 0.000 14.836
Tm 0.000 0.000 20.835
```

Properties
**Crystal system**: trigonal
**Energy above the lowest structure with this stoichiometry**: 0.014 eV per atom
**Space group**: R3m
**Formation energy**: 11 kJ/mol of formula units

---

Entry 5:
This record from Alexandria describes a geometry-optimized Ac6HgPd2 structure. The functional is PBE-GGA.

extended XYZ file:
```
18
Lattice="-5.140 5.419 5.685 5.140 -5.419 5.685 5.140 5.419 -5.685" Properties=species:S:1:pos:R:3 pbc="T T T"
Ac 5.140 3.370 -2.986
Ac 2.969 1.910 0.000
Ac 7.311 1.910 0.000
Ac 1.951 5.419 -1.936
Ac 3.189 0.000 3.750
Ac 0.000 2.049 2.699
Ac 5.140 3.370 2.986
Ac 1.951 5.419 1.936
Ac 3.189 0.000 7.621
Ac -2.171 3.509 5.685
Ac 2.171 3.509 5.685
Ac 0.000 2.049 8.671
Hg 0.000 0.000 0.000
Hg 0.000 0.000 5.685
Pd 5.140 0.000 1.458
Pd 0.000 3.741 0.000
Pd 0.000 7.097 0.000
Pd 0.000 5.419 4.228
```

Properties
**Crystal system**: orthorhombic
**Space group**: Immm
**Formation energy**: -393 kJ/mol of formula units

---

M_tot (computed, μB per formula unit): 0.00 0.00 0.00 0.00 0.00
Electronic total energy (computed, eV per atom): -2.059 -3.355 -6.581 -4.733 -4.379
Fermi-level density of states (computed, states/eV per cell): 19.931 3.888 1.657 6.493 17.295